[1]
An optimized crystal structure of ZnInB, computed with PBE-GGA.

Output
- E (Ha/atom) = -0.116
- magnetization (Bohr magnetons per cell) = 0.000
- space group = P-1, No. 2
- theoretical density (g/cm3) = 6.130
- ΔH_f (0 K) (meV per atom) = 417

Structure (POSCAR):
```
ZnInB
1.0
3.540 0.000 0.000
-0.009 5.255 0.000
-1.762 -2.613 5.564
Zn In B
2 2 2
Direct
0.118 0.116 0.237 Zn
0.882 0.884 0.763 Zn
0.360 0.359 0.715 In
0.640 0.641 0.285 In
0.500 0.153 0.000 B
0.500 0.847 0.000 B
```

=====

[2]
An optimized crystal structure of Cd4PSe6, computed with PBE-GGA.

Output
- E (Ha/atom) = -0.115
- energy relative to the elements, uncorrected (eV/atom) = -0.404
- magnetization (Bohr magnetons per cell) = 0.000
- space group = Cc, No. 9
- theoretical density (g/cm3) = 5.351

Structure (POSCAR):
```
Cd4PSe6
1.0
6.502 -3.734 0.000
6.502 3.734 0.000
-4.563 0.000 12.201
Cd P Se
8 2 12
Direct
0.074 0.926 0.500 Cd
0.236 0.434 0.000 Cd
0.427 0.823 0.837 Cd
0.434 0.236 0.500 Cd
0.712 0.903 0.189 Cd
0.823 0.427 0.337 Cd
0.903 0.712 0.689 Cd
0.926 0.074 0.000 Cd
0.269 0.835 0.244 P
0.835 0.269 0.744 P
0.059 0.575 0.504 Se
0.122 0.590 0.202 Se
0.126 0.184 0.203 Se
0.168 0.714 0.881 Se
0.184 0.126 0.703 Se
0.410 0.855 0.427 Se
0.563 0.627 0.165 Se
0.575 0.059 0.004 Se
0.590 0.122 0.702 Se
0.627 0.563 0.665 Se
0.714 0.168 0.381 Se
0.855 0.410 0.927 Se
```

=====

[3]
An optimized crystal structure of Mg3Cd, computed with PBE-GGA.

Output
- E (Ha/atom) = -0.054
- magnetization (Bohr magnetons per cell) = 0.000
- space group = Imm2, No. 44
- theoretical density (g/cm3) = 3.467
- ΔH_f (0 K) (meV per atom) = -57

Structure (POSCAR):
```
Mg3Cd
1.0
3.243 0.000 0.000
0.000 10.094 0.000
0.000 0.000 5.422
Mg Cd
6 2
Direct
0.000 0.000 0.000 Mg
0.000 0.245 0.347 Mg
0.000 0.755 0.347 Mg
0.500 0.255 0.847 Mg
0.500 0.500 0.500 Mg
0.500 0.745 0.847 Mg
0.000 0.500 0.011 Cd
0.500 0.000 0.511 Cd
```

=====

[4]
An optimized crystal structure of NbAsAuSe2, computed with PBE-GGA.

Output
- E (Ha/atom) = -0.145
- energy relative to the elements, uncorrected (eV/atom) = 1.047
- magnetization (Bohr magnetons per cell) = 0.077
- space group = P4/mmm, No. 123
- theoretical density (g/cm3) = 7.109

Structure (POSCAR):
```
NbAsAuSe2
1.0
5.000 0.000 0.000
0.000 5.000 0.000
0.000 0.000 4.885
Nb As Au Se
1 1 1 2
Direct
0.000 0.000 0.000 Nb
0.500 0.500 0.000 As
0.500 0.500 0.500 Au
0.000 0.500 0.500 Se
0.500 0.000 0.500 Se
```

=====

[5]
An optimized crystal structure of Ac4Ga5Hg3, computed with PBE-GGA.

Output
- E (Ha/atom) = -0.114
- magnetization (Bohr magnetons per cell) = 0.000
- space group = C2/m, No. 12
- theoretical density (g/cm3) = 8.728
- ΔH_f (0 K) (meV per atom) = -404

Structure (POSCAR):
```
Ac4Ga5Hg3
1.0
7.831 -2.402 0.000
7.831 2.402 0.000
-5.648 0.000 9.396
Ac Ga Hg
4 5 3
Direct
0.031 0.031 0.333 Ac
0.267 0.267 0.768 Ac
0.733 0.733 0.232 Ac
0.969 0.969 0.667 Ac
0.276 0.276 0.472 Ga
0.408 0.408 0.406 Ga
0.500 0.500 0.000 Ga
0.592 0.592 0.594 Ga
0.724 0.724 0.528 Ga
0.000 0.000 0.000 Hg
0.334 0.334 0.106 Hg
0.666 0.666 0.894 Hg
```

=====

[6]
An optimized crystal structure of Er3TePS, computed with PBE-GGA.

Output
- E (Ha/atom) = -0.214
- energy relative to the elements, uncorrected (eV/atom) = -1.418
- magnetization (Bohr magnetons per cell) = 0.002
- space group = C2/c, No. 15
- theoretical density (g/cm3) = 7.515

Structure (POSCAR):
```
Er3TePS
1.0
3.362 -7.097 0.000
3.362 7.097 0.000
-1.920 0.000 6.414
Er Te P S
6 2 2 2
Direct
0.181 0.310 0.999 Er
0.250 0.750 0.750 Er
0.310 0.181 0.499 Er
0.690 0.819 0.501 Er
0.750 0.250 0.250 Er
0.819 0.690 0.001 Er
0.251 0.749 0.250 Te
0.749 0.251 0.750 Te
0.064 0.936 0.750 P
0.936 0.064 0.250 P
0.439 0.561 0.750 S
0.561 0.439 0.250 S
```

=====

[7]
An optimized crystal structure of Tl3SbTe3, computed with PBE-GGA.

Output
- E (Ha/atom) = -0.116
- energy relative to the elements, uncorrected (eV/atom) = -0.204
- magnetization (Bohr magnetons per cell) = 0.000
- space group = C2/m, No. 12
- theoretical density (g/cm3) = 6.595

Structure (POSCAR):
```
Tl3SbTe3
1.0
8.305 -4.371 0.000
8.305 4.371 0.000
-5.225 0.000 7.752
Tl Sb Te
6 2 6
Direct
0.229 0.771 0.000 Tl
0.230 0.770 0.500 Tl
0.266 0.266 0.513 Tl
0.734 0.734 0.487 Tl
0.770 0.230 0.500 Tl
0.771 0.229 0.000 Tl
0.280 0.280 0.033 Sb
0.720 0.720 0.967 Sb
0.000 0.499 0.770 Te
0.000 0.501 0.230 Te
0.492 0.492 0.242 Te
0.499 0.000 0.770 Te
0.501 0.000 0.230 Te
0.508 0.508 0.758 Te
```

=====

[8]
An optimized crystal structure of LiTcBi, computed with PBE-GGA.

Output
- E (Ha/atom) = -0.195
- magnetization (Bohr magnetons per cell) = 0.000
- space group = R3m, No. 160
- theoretical density (g/cm3) = 8.474
- ΔH_f (0 K) (meV per atom) = 86

Structure (POSCAR):
```
LiTcBi
1.0
2.157 1.245 7.633
-2.157 1.245 7.633
0.000 -2.491 7.633
Li Tc Bi
2 2 2
Direct
0.000 0.000 0.000 Li
0.455 0.455 0.455 Li
0.297 0.297 0.297 Tc
0.597 0.597 0.597 Tc
0.718 0.718 0.718 Bi
0.872 0.872 0.872 Bi
```